This record from Alexandria describes a relaxed structure of Hf2Ti2Bi. The functional is PBE.

```
Hf2Ti2Bi
1.0
-3.666 -1.763 5.399
4.347 -3.856 0.367
3.046 4.451 2.196
Bi Ti Hf
2 4 4
Cartesian
0.598 1.204 5.821
3.129 -2.373 2.140
1.864 -0.585 3.981
3.697 0.297 1.281
1.523 2.225 1.098
0.341 -2.810 2.883
4.991 -0.718 3.909
2.972 -0.408 6.871
0.755 -0.761 1.090
-1.264 -0.451 4.052
```

Values from the calculation:
The total moment comes out at 1.3 μB per formula unit. As for the mass density: 10.0 Mg/m³. The value obtained for the energy above the most stable polymorph in this dataset is 0.69 eV/f.u. As for the symmetry: C2/c, No. 15.

This record from Alexandria describes a relaxed structure of Hf2TiBi. The functional is PBE.

```
Hf2TiBi
1.0
-3.010 -1.460 1.573
2.021 -1.018 2.924
-1.239 5.562 2.793
Bi Ti Hf
1 1 2
Cartesian
-1.114 1.542 3.645
-0.494 -1.239 2.248
-0.943 4.234 2.126
-0.296 1.327 0.666
```

Values from the calculation:
The total moment comes out at 0.8 μB per formula unit. As for the mass density: 11.8 Mg/m³. As for the symmetry: P4/mmm, No. 123. Its total energy is -7.982 eV/atom.

This record from Alexandria describes a relaxed structure of Hf3TlBi. The functional is PBE.

```
Hf3TlBi
1.0
3.361 -0.354 -0.352
0.782 11.951 0.329
0.782 0.417 11.948
Hf Bi Tl
12 4 4
Cartesian
1.908 8.887 6.783
2.183 0.265 10.039
3.075 6.672 0.943
1.850 5.342 10.983
3.531 10.845 5.085
1.394 1.169 6.840
1.062 2.150 11.911
3.589 6.671 8.661
3.016 3.127 5.143
2.742 11.749 1.887
1.336 5.343 3.265
3.863 9.863 0.015
2.317 8.448 10.703
3.998 10.588 8.193
0.927 1.426 3.733
2.607 3.566 1.223
1.622 5.094 7.059
1.622 9.108 3.016
3.303 2.906 8.910
3.303 6.920 4.866
```

Values from the calculation:
The total moment comes out at 0.0 μB per formula unit. As for the mass density: 13.0 Mg/m³. The value obtained for the energy above the most stable polymorph in this dataset is 0.00 eV/f.u. As for the symmetry: C2/c, No. 15.

This record from Alexandria describes a relaxed structure of Hf5TlBi. The functional is PBE.

```
Hf5TlBi
1.0
7.345 0.085 2.028
2.411 6.938 2.028
5.263 3.789 9.293
Hf Bi Tl
10 2 2
Cartesian
11.740 6.920 11.104
7.856 2.149 4.351
7.363 3.769 6.892
3.278 3.892 2.246
7.162 8.663 8.998
9.781 7.398 8.706
5.238 3.414 4.643
7.656 7.044 6.457
7.531 5.778 9.290
7.487 5.034 4.060
0.000 0.000 0.000
2.632 1.895 4.647
10.239 4.390 8.998
4.780 6.422 4.351
```

Values from the calculation:
The total moment comes out at 0.0 μB per formula unit. As for the mass density: 12.0 Mg/m³. As for the symmetry: C2/c, No. 15. Its total energy is -7.694 eV/atom.

This record from Alexandria describes a relaxed structure of HfTlBi. The functional is PBE.

```
HfTlBi
1.0
-3.913 -2.331 -4.228
6.594 1.691 -2.468
2.568 -7.472 1.742
Bi Tl Hf
4 4 4
Cartesian
3.147 -0.248 -2.776
2.102 -7.864 -2.178
2.075 -3.985 -4.290
3.175 -4.126 -0.664
0.297 -2.379 -1.247
6.909 -4.567 -1.593
4.952 -5.732 -3.707
-1.659 -3.544 -3.361
0.514 -5.342 -2.098
4.735 -2.769 -2.856
1.876 -1.306 -5.583
3.374 -6.805 0.629
```

Values from the calculation:
The total moment comes out at 0.0 μB per formula unit. As for the mass density: 12.0 Mg/m³. The value obtained for the energy above the most stable polymorph in this dataset is 0.34 eV/f.u. As for the symmetry: Cmce, No. 64.

This record from Alexandria describes a relaxed structure of Hf2TlBi. The functional is PBE.

```
Hf2TlBi
1.0
-2.808 1.714 -0.322
-2.584 -1.341 -1.565
-5.151 -3.710 8.192
Bi Tl Hf
1 1 2
Cartesian
-3.596 0.248 -1.255
-5.271 -1.667 3.150
-2.638 -0.837 1.582
-4.310 -2.748 5.979
```

Values from the calculation:
The total moment comes out at 0.0 μB per formula unit. As for the mass density: 13.3 Mg/m³. The value obtained for the energy above the most stable polymorph in this dataset is 0.00 eV/f.u. As for the symmetry: R3m, No. 160.

This record from Alexandria describes a relaxed structure of Hf4TlBi. The functional is PBE.

```
Hf4TlBi
1.0
-1.621 2.830 -4.092
1.015 -4.031 -3.190
-4.118 -3.705 -0.931
Hf Bi Tl
4 1 1
Cartesian
-1.328 -3.175 -5.016
-3.396 -1.730 -3.197
-1.037 -2.580 -1.373
-2.066 -5.156 -2.748
-0.303 -0.600 -3.641
0.000 0.000 0.000
```

Values from the calculation:
The total moment comes out at 0.0 μB per formula unit. As for the mass density: 13.7 Mg/m³. The value obtained for the energy above the most stable polymorph in this dataset is 0.00 eV/f.u. As for the symmetry: Cmmm, No. 65.

This record from Alexandria describes a relaxed structure of Hf2TlBi. The functional is PBE.

```
Hf2TlBi
1.0
-4.777 3.115 2.553
1.430 -2.391 5.592
2.661 5.956 5.356
Tl Hf Bi
2 4 2
Cartesian
-1.673 0.362 4.073
1.209 1.963 7.511
0.857 0.452 5.209
-0.964 5.152 11.022
0.772 4.686 7.195
-2.037 3.068 3.578
0.000 0.000 0.000
-1.895 4.716 5.991
```

Values from the calculation:
The total moment comes out at 0.0 μB per formula unit. As for the mass density: 9.1 Mg/m³. The value obtained for the energy above the most stable polymorph in this dataset is 3.10 eV/f.u. As for the symmetry: I-42d, No. 122.